## Li2TcAu (GGA-PBEsol)

Data for a geometry-optimized Li2TcAu structure.

Volume: 14.41 A^3/atom
E above lowest polymorph: 0 meV/atom
Magnetization: 0.68 Bohr magnetons per cell

abc: 4.776 4.776 4.893
angles: 99.12 99.12 31.57
Fractional positions:
Li: 0.247 0.247 0.257
Li: 0.753 0.753 0.743
Tc: 0.000 0.000 0.500
Au: 0.500 0.500 0.000